Entry 1:
Entry from Alexandria via LeMat-Bulk: Ac2Cd4Ga3Ag after structural relaxation (PBE).

The space group is P-4m2 (No. 115) and the conventional cell measures 4.647, 4.647 and 11.434 Å, with angles of 90.00, 90.00 and 90.00 degrees. Symmetry generates all atoms from Ac at (0.000, 0.500, 0.249), Cd at (0.000, 0.000, 0.500), Cd at (0.000, 0.500, 0.869), Cd at (0.500, 0.500, 0.500), Ga at (0.000, 0.000, 0.000), Ga at (0.000, 0.500, 0.638) and Ag at (0.500, 0.500, 0.000).

For the total energy, the calculation gives -2.72 eV/atom. Its volume is 246.97 Å³/f.u. The formation energy comes out at -0.341 eV/atom.

---

Entry 2:
Entry from Alexandria via LeMat-Bulk: AcCd2GaAg4 after structural relaxation (PBE).

The space group is R-3m (No. 166, hexagonal axes) and the conventional cell measures 4.7560, 4.7560 and 27.7355 Å, with angles of 90.00, 90.00 and 120.00 degrees. Symmetry generates all atoms from Ac at (0.0000, 0.0000, 0.0000), Cd at (0.0000, 0.0000, 0.2442), Ga at (0.0000, 0.0000, 0.5000), Ag at (0.0000, 0.0000, 0.1346) and Ag at (0.0000, 0.0000, 0.4024).

For the total energy, the calculation gives -2.67 eV/atom. Its volume is 181.10 Å³/f.u. The formation energy comes out at -0.126 eV/atom.

---

Entry 3:
Entry from Alexandria via LeMat-Bulk: Ac2Cd4GaAg3 after structural relaxation (PBE).

The space group is P-4m2 (No. 115) and the conventional cell measures 4.565, 4.565 and 12.218 Å, with angles of 90.00, 90.00 and 90.00 degrees. Symmetry generates all atoms from Ac at (0.000, 0.500, 0.243), Cd at (0.000, 0.000, 0.500), Cd at (0.000, 0.500, 0.870), Cd at (0.500, 0.500, 0.500), Ga at (0.500, 0.500, 0.000), Ag at (0.000, 0.000, 0.000) and Ag at (0.000, 0.500, 0.644).

For the total energy, the calculation gives -2.60 eV/atom. Its volume is 254.65 Å³/f.u. The formation energy comes out at -0.253 eV/atom.

---

Entry 4:
Entry from Alexandria via LeMat-Bulk: AcCdGa2Ag4 after structural relaxation (PBE).

The space group is R-3m (No. 166, hexagonal axes) and the conventional cell measures 4.5826, 4.5826 and 29.1023 Å, with angles of 90.00, 90.00 and 120.00 degrees. Symmetry generates all atoms from Ac at (0.0000, 0.0000, 0.0000), Cd at (0.0000, 0.0000, 0.5000), Ga at (0.0000, 0.0000, 0.2533), Ag at (0.0000, 0.0000, 0.1255) and Ag at (0.0000, 0.0000, 0.4043).

For the total energy, the calculation gives -2.96 eV/atom. Its volume is 176.42 Å³/f.u. The formation energy comes out at -0.148 eV/atom.

---

- The highest volume belongs to which entry?
  Ac2Cd4GaAg3

---

- What is the formula in the fourth record?
  AcCdGa2Ag4

---

- formation energy of number 2 (AcCd2GaAg4)?
  -0.126 eV/atom

---

- What is the formula in the second record?
  AcCd2GaAg4